[1]
DFT (GGA-PBE) results for Al2CoB after structural relaxation.

Unit cell a=7.5780 b=7.5780 c=3.8617 alpha=90.00 beta=90.00 gamma=90.00
With the nearest neighbours (Å) after each atom.
Space group I-42d (No. 122)
Unique sites:
Al 0.1116 0.2500 0.1250 (multiplicity 8)  2 B 2.13
Co 0.0000 0.0000 0.5000 (multiplicity 4)  2 B 1.93
B 0.0000 0.0000 0.0000 (multiplicity 4)  2 Co 1.93, 4 Al 2.13

Output
E_tot = -5.127 eV per atom
Spin magnetization = 1.303 Bohr magnetons per cell
Formation energy from the elements = 0.191 eV/atom

***

[2]
DFT (GGA-PBE) results for AlCo2B2 after structural relaxation.

Unit cell a=5.7908 b=5.7908 c=2.6088 alpha=90.00 beta=90.00 gamma=90.00
With the nearest neighbours (Å) after each atom.
Space group P4/mbm (No. 127)
Unique sites:
Al 0.0000 0.0000 0.0000 (multiplicity 2)  4 B 2.35, 8 Co 2.50, 2 Al 2.61
Co 0.1778 0.3222 0.5000 (multiplicity 4)  6 B 2.15-2.17
B 0.1101 0.6101 0.0000 (multiplicity 4)  1 B 1.80

Output
E_tot = -6.580 eV per atom
Spin magnetization = 0.000 Bohr magnetons per cell
Formation energy from the elements = -0.318 eV/atom

***

[3]
DFT (GGA-PBE) results for Al3Co20B6 after structural relaxation.

Unit cell a=10.4513 b=10.4513 c=10.4513 alpha=90.00 beta=90.00 gamma=90.00
With the nearest neighbours (Å) after each atom.
Space group Fm-3m (No. 225)
Unique sites:
Al 0.0000 0.0000 0.0000 (multiplicity 4)  12 Co 2.51
Al 0.2500 0.2500 0.2500 (multiplicity 8)  4 Co 2.40
Co 0.0000 0.1701 0.1701 (multiplicity 48)  2 B 2.10
Co 0.1176 0.1176 0.3824 (multiplicity 32)  3 B 2.06
B 0.0000 0.0000 0.2768 (multiplicity 24)  8 Co 2.06-2.10

Output
E_tot = -6.955 eV per atom
Spin magnetization = 72.398 Bohr magnetons per cell
Formation energy from the elements = -0.285 eV/atom

***

[4]
DFT (GGA-PBE) results for AlCoB3 after structural relaxation.

Unit cell a=3.7908 b=3.7908 c=3.7908 alpha=90.00 beta=90.00 gamma=90.00
With the nearest neighbours (Å) after each atom.
Space group Pm-3m (No. 221)
Unique sites:
Al 0.0000 0.0000 0.0000 (multiplicity 1)  12 B 2.68
Co 0.5000 0.5000 0.5000 (multiplicity 1)  6 B 1.90
B 0.0000 0.5000 0.5000 (multiplicity 3)  2 Co 1.90

Output
E_tot = -5.273 eV per atom
Excess energy over the best structure of this formula in the dataset = 0 meV/atom
Spin magnetization = 0.000 Bohr magnetons per cell
Formation energy from the elements = 0.904 eV/atom

***

[5]
DFT (GGA-PBE) results for AlCoB after structural relaxation.

Unit cell a=2.7296 b=6.7129 c=7.0159 alpha=90.00 beta=90.00 gamma=90.00
With the nearest neighbours (Å) after each atom.
Space group Immm (No. 71)
Unique sites:
Al 0.0000 0.2466 0.0000 (multiplicity 4)  4 B 2.30, 4 Co 2.52
Co 0.0000 0.0000 0.3198 (multiplicity 4)  2 B 1.96
B 0.0000 0.5000 0.3805 (multiplicity 4)  1 B 1.68

Output
E_tot = -5.957 eV per atom
Spin magnetization = 0.000 Bohr magnetons per cell
Formation energy from the elements = -0.115 eV/atom

***

[6]
DFT (GGA-PBE) results for Al2Co2B after structural relaxation.

Unit cell a=5.3614 b=5.3614 c=3.8796 alpha=90.00 beta=90.00 gamma=90.00
With the nearest neighbours (Å) after each atom.
Space group P4/mbm (No. 127)
Unique sites:
Al 0.1653 0.3347 0.0000 (multiplicity 4)  6 Co 2.35-2.61, 1 Al 2.51
Co 0.1607 0.6607 0.5000 (multiplicity 4)  2 B 2.01
B 0.0000 0.0000 0.5000 (multiplicity 2)  4 Co 2.01

Output
E_tot = -6.034 eV per atom
Spin magnetization = 0.000 Bohr magnetons per cell
Formation energy from the elements = -0.360 eV/atom

***

[7]
DFT (GGA-PBE) results for AlCo3B after structural relaxation.

Unit cell a=3.7655 b=3.7655 c=3.7655 alpha=90.00 beta=90.00 gamma=90.00
With the nearest neighbours (Å) after each atom.
Space group Pm-3m (No. 221)
Unique sites:
Al 0.0000 0.0000 0.0000 (multiplicity 1)  12 Co 2.66
Co 0.0000 0.5000 0.5000 (multiplicity 3)  2 B 1.88
B 0.5000 0.5000 0.5000 (multiplicity 1)  6 Co 1.88

Output
E_tot = -6.617 eV per atom
Excess energy over the best structure of this formula in the dataset = 0 meV/atom
Spin magnetization = 1.010 Bohr magnetons per cell
Formation energy from the elements = -0.270 eV/atom

***

[8]
DFT (GGA-PBE) results for AlCo3B3 after structural relaxation.

Unit cell a=5.3704 b=5.3704 c=5.3704 alpha=90.00 beta=90.00 gamma=90.00
With the nearest neighbours (Å) after each atom.
Space group Pm-3n (No. 223)
Unique sites:
Al 0.0000 0.0000 0.0000 (multiplicity 2)  12 Co 3.00, 12 B 3.00
Co 0.0000 0.2500 0.5000 (multiplicity 6)  4 B 1.90
B 0.0000 0.5000 0.2500 (multiplicity 6)  4 Co 1.90

Output
E_tot = -6.093 eV per atom
Spin magnetization = 0.000 Bohr magnetons per cell
Formation energy from the elements = 0.349 eV/atom

***

[9]
DFT (GGA-PBE) results for Al3CoB after structural relaxation.

Unit cell a=4.0686 b=4.0686 c=4.0686 alpha=90.00 beta=90.00 gamma=90.00
With the nearest neighbours (Å) after each atom.
Space group Pm-3m (No. 221)
Unique sites:
Al 0.0000 0.0000 0.5000 (multiplicity 3)  2 B 2.03
Co 0.5000 0.5000 0.5000 (multiplicity 1)  12 Al 2.88
B 0.0000 0.0000 0.0000 (multiplicity 1)  6 Al 2.03

Output
E_tot = -4.618 eV per atom
Excess energy over the best structure of this formula in the dataset = 0 meV/atom
Spin magnetization = 0.000 Bohr magnetons per cell
Formation energy from the elements = 0.384 eV/atom

***

[10]
DFT (GGA-PBE) results for Al2CoB2 after structural relaxation.

Unit cell a=5.4486 b=5.4486 c=3.2471 alpha=90.00 beta=90.00 gamma=90.00
With the nearest neighbours (Å) after each atom.
Space group P4/mbm (No. 127)
Unique sites:
Al 0.1842 0.3158 0.0000 (multiplicity 4)  6 B 2.26-2.32
Co 0.0000 0.0000 0.5000 (multiplicity 2)  4 B 2.20
B 0.1120 0.6120 0.5000 (multiplicity 4)  1 B 1.73

Output
E_tot = -5.830 eV per atom
Spin magnetization = 0.000 Bohr magnetons per cell
Formation energy from the elements = -0.241 eV/atom

***

[11]
DFT (GGA-PBE) results for AlCo3B after structural relaxation.

Unit cell a=4.1848 b=4.1848 c=4.1848 alpha=90.00 beta=90.00 gamma=90.00
With the nearest neighbours (Å) after each atom.
Space group Pm-3m (No. 221)
Unique sites:
Al 0.0000 0.0000 0.0000 (multiplicity 1)  6 Co 2.09
Co 0.0000 0.0000 0.5000 (multiplicity 3)  2 Al 2.09
B 0.5000 0.5000 0.5000 (multiplicity 1)  12 Co 2.96

Output
E_tot = -4.583 eV per atom
Excess energy over the best structure of this formula in the dataset = 2034 meV/atom
Spin magnetization = 3.790 Bohr magnetons per cell
Formation energy from the elements = 1.764 eV/atom

***

[12]
DFT (GGA-PBE) results for AlCo5B2 after structural relaxation.

Unit cell a=2.7222 b=5.2452 c=11.0391 alpha=90.00 beta=90.00 gamma=90.00
With the nearest neighbours (Å) after each atom.
Space group Immm (No. 71)
Unique sites:
Al 0.0000 0.0000 0.0000 (multiplicity 2)  10 Co 2.52-2.62, 2 Al 2.72
Co 0.0000 0.2514 0.3489 (multiplicity 8)  3 B 1.99-2.04
Co 0.0000 0.5000 0.0000 (multiplicity 2)  2 B 2.28, 8 Co 2.52
B 0.0000 0.5000 0.2066 (multiplicity 4)  6 Co 1.99-2.04

Output
E_tot = -6.823 eV per atom
Spin magnetization = 5.977 Bohr magnetons per cell
Formation energy from the elements = -0.245 eV/atom

***

Q: Number 5 is which compound?
A: AlCoB

***

Q: The highest formation energy from the elements belongs to which entry?
A: number 11

***

Q: Which of these has the lowest E_tot?
A: Al3Co20B6

***

Copy entry 3 word for word.
DFT (GGA-PBE) results for Al3Co20B6 after structural relaxation.

Unit cell a=10.4513 b=10.4513 c=10.4513 alpha=90.00 beta=90.00 gamma=90.00
With the nearest neighbours (Å) after each atom.
Space group Fm-3m (No. 225)
Unique sites:
Al 0.0000 0.0000 0.0000 (multiplicity 4)  12 Co 2.51
Al 0.2500 0.2500 0.2500 (multiplicity 8)  4 Co 2.40
Co 0.0000 0.1701 0.1701 (multiplicity 48)  2 B 2.10
Co 0.1176 0.1176 0.3824 (multiplicity 32)  3 B 2.06
B 0.0000 0.0000 0.2768 (multiplicity 24)  8 Co 2.06-2.10

Output
E_tot = -6.955 eV per atom
Spin magnetization = 72.398 Bohr magnetons per cell
Formation energy from the elements = -0.285 eV/atom